# 1
This record from Alexandria describes TlSi2W after structural relaxation. The functional is PBE.

* formation energy (no corrections): 1.2 eV/f.u.
* symmetry: P4/mmm (123)
* total magnetization: 0.0 μB per formula unit
* crystal system: tetragonal
* DOS(E_F): 2.5 states/eV per cell

Cell: 3.226 3.224 7.370 Å, 90.00 90.00 90.00°
Fractional positions:
1 Si 0.000 0.000 0.922
2 Si 0.000 0.000 0.578
3 Tl 0.500 0.500 0.250
4 W 0.500 0.500 0.750

# 2
This record from Alexandria describes TlSiW2 after structural relaxation. The functional is PBE.

* formation energy (no corrections): 1.7 eV/f.u.
* symmetry: P4mm (99)
* total magnetization: 0.0 μB per formula unit
* crystal system: tetragonal
* DOS(E_F): 2.0 states/eV per cell

Cell: 3.236 3.236 6.827 Å, 90.00 90.00 90.00°
Fractional positions:
1 Si 0.000 0.000 0.437
2 Tl 0.500 0.500 0.752
3 W 0.000 0.000 0.044
4 W 0.500 0.500 0.267

# 3
This record from Alexandria describes TlSiW2 after structural relaxation. The functional is PBE.

* formation energy (no corrections): 2.6 eV/f.u.
* symmetry: Cmmm (65)
* total magnetization: 0.0 μB per formula unit
* crystal system: orthorhombic
* DOS(E_F): 1.5 states/eV per cell

Cell: 2.930 2.930 8.575 Å, 90.00 90.00 110.57°
Fractional positions:
1 Si 0.500 0.500 0.250
2 Tl 0.500 0.500 0.750
3 W 0.000 0.000 0.036
4 W 0.000 0.000 0.464

# 4
This record from Alexandria describes TlSiW2 after structural relaxation. The functional is PBE.

* formation energy (no corrections): 3.0 eV/f.u.
* symmetry: Cm (8)
* total magnetization: 0.0 μB per formula unit
* crystal system: monoclinic
* DOS(E_F): 2.4 states/eV per cell

Cell: 5.420 5.420 4.503 Å, 65.32 65.32 34.77°
Fractional positions:
1 Si 0.475 0.475 0.525
2 Tl 0.240 0.240 0.260
3 W 0.017 0.017 0.983
4 W 0.768 0.768 0.732

# 5
This record from Alexandria describes Y2TlSi after structural relaxation. The functional is PBE.

* formation energy (no corrections): -2.1 eV/f.u.
* symmetry: Pm (6)
* total magnetization: 0.0 μB per formula unit
* crystal system: monoclinic
* DOS(E_F): 3.5 states/eV per cell

Cell: 4.133 4.425 5.974 Å, 68.28 90.00 90.00°
Fractional positions:
1 Y 0.000 0.982 0.912
2 Y 0.500 0.261 0.352
3 Tl 0.500 0.544 0.789
4 Si 0.000 0.713 0.447

# 6
This record from Alexandria describes YTlSi after structural relaxation. The functional is PBE.

* formation energy (no corrections): -0.8 eV/f.u.
* symmetry: P3m1 (156)
* total magnetization: 0.0 μB per formula unit
* crystal system: trigonal
* DOS(E_F): 0.5 states/eV per cell

Cell: 4.286 4.286 4.707 Å, 90.00 90.00 120.00°
Fractional positions:
1 Si 0.000 0.000 0.018
2 Tl 0.667 0.333 0.276
3 Y 0.333 0.667 0.706

# 7
This record from Alexandria describes Y4TlSi2 after structural relaxation. The functional is PBE.

* formation energy (no corrections): 0.2 eV/f.u.
* symmetry: I4/mmm (139)
* total magnetization: 0.0 μB per formula unit
* crystal system: tetragonal
* DOS(E_F): 7.6 states/eV per cell

Cell: 5.728 5.728 7.912 Å, 68.78 68.78 90.00°
Fractional positions:
1 Y 0.782 0.782 0.435
2 Y 0.218 0.218 0.565
3 Y 0.000 0.500 0.000
4 Y 0.500 0.000 0.000
5 Tl 0.000 0.000 0.000
6 Si 0.583 0.583 0.833
7 Si 0.417 0.417 0.167

# 8
This record from Alexandria describes YTl2Si2 after structural relaxation. The functional is PBE.

* formation energy (no corrections): 0.2 eV/f.u.
* symmetry: P4/mbm (127)
* total magnetization: 0.0 μB per formula unit
* crystal system: tetragonal
* DOS(E_F): 7.4 states/eV per cell

Cell: 7.408 7.408 4.368 Å, 90.00 90.00 90.00°
Fractional positions:
1 Y 0.000 0.000 0.000
2 Y 0.500 0.500 0.000
3 Tl 0.182 0.682 0.500
4 Tl 0.682 0.818 0.500
5 Tl 0.818 0.318 0.500
6 Tl 0.318 0.182 0.500
7 Si 0.388 0.888 0.000
8 Si 0.888 0.612 0.000
9 Si 0.612 0.112 0.000
10 Si 0.112 0.388 0.000

What did the sixth record say?
This record from Alexandria describes YTlSi after structural relaxation. The functional is PBE.

* formation energy (no corrections): -0.8 eV/f.u.
* symmetry: P3m1 (156)
* total magnetization: 0.0 μB per formula unit
* crystal system: trigonal
* DOS(E_F): 0.5 states/eV per cell

Cell: 4.286 4.286 4.707 Å, 90.00 90.00 120.00°
Fractional positions:
1 Si 0.000 0.000 0.018
2 Tl 0.667 0.333 0.276
3 Y 0.333 0.667 0.706